1.
Computed, not measured: a relaxed structure of KCrCu3 at the PBE-GGA level of DFT.

The structure in POSCAR format:
```
KCrCu3
1.0
4.963 0.000 0.000
0.000 4.963 0.000
0.000 0.000 4.963
K Cr Cu
1 1 3
Cartesian
0.000 0.000 0.000 K
2.481 2.481 2.481 Cr
0.000 0.000 2.481 Cu
0.000 2.481 0.000 Cu
2.481 0.000 0.000 Cu
```

Results
DFT total energy = -0.10084 hartree per atom
Distance to the lowest polymorph of the same formula = 999.9 meV/atom
Magnetic moment = 4.2 μB/f.u.
N(E_F) = 2.45 states/eV/cell
ΔH_f (0 K) = 1.858 eV/atom



2.
Computed, not measured: a relaxed structure of KCrCu2 at the PBE-GGA level of DFT.

The structure in POSCAR format:
```
KCrCu2
1.0
3.202 0.000 0.000
0.000 3.202 0.000
0.000 0.000 7.938
K Cr Cu
1 1 2
Cartesian
0.000 0.000 0.000 K
1.601 1.601 2.878 Cr
0.000 0.000 4.313 Cu
1.601 1.601 5.434 Cu
```

Results
DFT total energy = -0.15006 hartree per atom
Distance to the lowest polymorph of the same formula = 108.4 meV/atom
Magnetic moment = 4.5 μB/f.u.
N(E_F) = 2.21 states/eV/cell
ΔH_f (0 K) = 0.645 eV/atom



3.
Computed, not measured: a relaxed structure of KCrCu at the PBE-GGA level of DFT.

The structure in POSCAR format:
```
KCrCu
1.0
4.440 0.000 0.000
-2.220 3.845 0.000
0.000 0.000 4.926
K Cr Cu
1 1 1
Cartesian
0.000 0.000 0.000 K
2.220 1.282 2.463 Cr
0.000 2.563 2.463 Cu
```

Results
DFT total energy = -0.14926 hartree per atom
Distance to the lowest polymorph of the same formula = 195.1 meV/atom
Magnetic moment = 4.7 μB/f.u.
N(E_F) = 1.98 states/eV/cell
ΔH_f (0 K) = 0.877 eV/atom



4.
Computed, not measured: a relaxed structure of KCrCu2 at the PBE-GGA level of DFT.

The structure in POSCAR format:
```
KCrCu2
1.0
3.568 -3.582 0.000
3.568 3.582 0.000
0.000 0.000 2.945
K Cr Cu
1 1 2
Cartesian
0.000 0.000 0.000 K
3.568 0.000 0.000 Cr
1.784 1.791 1.473 Cu
1.784 -1.791 1.473 Cu
```

Results
DFT total energy = -0.14473 hartree per atom
Distance to the lowest polymorph of the same formula = 253.6 meV/atom
Magnetic moment = 4.3 μB/f.u.
N(E_F) = 1.48 states/eV/cell
ΔH_f (0 K) = 0.790 eV/atom



5.
Computed, not measured: a relaxed structure of K2CrCu at the PBE-GGA level of DFT.

The structure in POSCAR format:
```
K2CrCu
1.0
3.791 0.000 0.000
0.000 4.046 0.000
-0.015 0.000 8.843
K Cr Cu
2 1 1
Cartesian
-0.003 0.000 1.975 K
3.780 0.000 6.868 K
1.888 2.023 4.421 Cr
1.896 2.023 0.000 Cu
```

Results
DFT total energy = -0.11453 hartree per atom
Distance to the lowest polymorph of the same formula = 257.5 meV/atom
Magnetic moment = 5.2 μB/f.u.
N(E_F) = 1.08 states/eV/cell
ΔH_f (0 K) = 0.862 eV/atom



6.
Computed, not measured: a relaxed structure of KCrCu4 at the PBE-GGA level of DFT.

The structure in POSCAR format:
```
KCrCu4
1.0
0.000 3.659 3.659
3.659 0.000 3.659
3.659 3.659 0.000
K Cr Cu
1 1 4
Cartesian
0.000 0.000 0.000 K
5.488 5.488 5.488 Cr
2.754 2.754 2.754 Cu
4.563 4.563 2.754 Cu
4.563 2.754 4.563 Cu
2.754 4.563 4.563 Cu
```

Results
DFT total energy = -0.14832 hartree per atom
Magnetic moment = 4.8 μB/f.u.
N(E_F) = 1.81 states/eV/cell
ΔH_f (0 K) = 0.482 eV/atom



7.
Computed, not measured: a relaxed structure of KCrCu2 at the PBE-GGA level of DFT.

The structure in POSCAR format:
```
KCrCu2
1.0
4.278 -1.561 0.000
4.278 1.561 0.000
-1.033 0.000 6.685
K Cr Cu
1 1 2
Cartesian
0.000 0.000 0.000 K
6.317 0.000 2.586 Cr
1.306 0.000 4.409 Cu
3.830 0.000 3.574 Cu
```

Results
DFT total energy = -0.14979 hartree per atom
Distance to the lowest polymorph of the same formula = 115.9 meV/atom
Magnetic moment = 4.5 μB/f.u.
N(E_F) = 2.06 states/eV/cell
ΔH_f (0 K) = 0.652 eV/atom



8.
Computed, not measured: a relaxed structure of KCrCu3 at the PBE-GGA level of DFT.

The structure in POSCAR format:
```
KCrCu3
1.0
4.873 0.000 0.000
0.000 4.873 0.000
0.000 0.000 4.873
K Cr Cu
1 1 3
Cartesian
0.000 0.000 0.000 K
2.437 2.437 2.437 Cr
0.000 2.437 2.437 Cu
2.437 0.000 2.437 Cu
2.437 2.437 0.000 Cu
```

Results
DFT total energy = -0.13759 hartree per atom
Distance to the lowest polymorph of the same formula = 0.0 meV/atom
Magnetic moment = 4.3 μB/f.u.
N(E_F) = 2.25 states/eV/cell
ΔH_f (0 K) = 0.858 eV/atom



9.
Computed, not measured: a relaxed structure of KCrCu at the PBE-GGA level of DFT.

The structure in POSCAR format:
```
KCrCu
1.0
3.449 0.000 0.000
-1.724 2.987 0.000
0.000 0.000 7.311
K Cr Cu
1 1 1
Cartesian
0.000 0.000 0.000 K
1.724 0.996 3.063 Cr
0.000 1.991 4.660 Cu
```

Results
DFT total energy = -0.14521 hartree per atom
Distance to the lowest polymorph of the same formula = 305.6 meV/atom
Magnetic moment = 4.5 μB/f.u.
N(E_F) = 1.36 states/eV/cell
ΔH_f (0 K) = 0.988 eV/atom



10.
Computed, not measured: a relaxed structure of KCrCu2 at the PBE-GGA level of DFT.

The structure in POSCAR format:
```
KCrCu2
1.0
3.076 0.000 0.000
0.000 4.167 0.000
-1.529 0.000 6.833
K Cr Cu
1 1 2
Cartesian
0.000 0.000 0.000 K
1.544 2.084 2.734 Cr
0.005 0.000 3.351 Cu
0.007 2.084 4.732 Cu
```

Results
DFT total energy = -0.15059 hartree per atom
Distance to the lowest polymorph of the same formula = 94.0 meV/atom
Magnetic moment = 4.4 μB/f.u.
N(E_F) = 1.96 states/eV/cell
ΔH_f (0 K) = 0.631 eV/atom



11.
Computed, not measured: a relaxed structure of KCrCu2 at the PBE-GGA level of DFT.

The structure in POSCAR format:
```
KCrCu2
1.0
0.000 3.423 3.423
3.423 0.000 3.423
3.423 3.423 0.000
K Cr Cu
1 1 2
Cartesian
0.000 0.000 0.000 K
3.423 3.423 3.423 Cr
1.712 1.712 1.712 Cu
5.135 5.135 5.135 Cu
```

Results
DFT total energy = -0.14111 hartree per atom
Distance to the lowest polymorph of the same formula = 352.1 meV/atom
Magnetic moment = 4.5 μB/f.u.
N(E_F) = 1.39 states/eV/cell
ΔH_f (0 K) = 0.889 eV/atom



12.
Computed, not measured: a relaxed structure of KCrCu2 at the PBE-GGA level of DFT.

The structure in POSCAR format:
```
KCrCu2
1.0
-1.453 2.606 5.207
1.453 -2.606 5.207
1.453 2.606 -5.207
K Cr Cu
1 1 2
Cartesian
0.000 0.000 0.000 K
1.453 0.000 3.151 Cr
0.000 0.000 5.417 Cu
0.000 2.606 2.247 Cu
```

Results
DFT total energy = -0.14627 hartree per atom
Distance to the lowest polymorph of the same formula = 211.5 meV/atom
Magnetic moment = 4.6 μB/f.u.
N(E_F) = 1.68 states/eV/cell
ΔH_f (0 K) = 0.748 eV/atom



13.
Computed, not measured: a relaxed structure of KCrCu at the PBE-GGA level of DFT.

The structure in POSCAR format:
```
KCrCu
1.0
-1.743 1.743 6.145
1.743 -1.743 6.145
1.743 1.743 -6.145
K Cr Cu
1 1 1
Cartesian
0.000 0.000 0.000 K
0.000 0.000 8.942 Cr
0.000 0.000 3.515 Cu
```

Results
DFT total energy = -0.15433 hartree per atom
Distance to the lowest polymorph of the same formula = 57.4 meV/atom
Magnetic moment = 4.4 μB/f.u.
N(E_F) = 1.46 states/eV/cell
ΔH_f (0 K) = 0.740 eV/atom



14.
Computed, not measured: a relaxed structure of K2CrCu at the PBE-GGA level of DFT.

The structure in POSCAR format:
```
K2CrCu
1.0
3.893 -2.245 0.000
3.893 2.245 0.000
-2.604 0.000 8.870
K Cr Cu
2 1 1
Cartesian
0.000 0.000 0.000 K
0.000 0.000 4.823 K
5.192 0.000 2.412 Cr
2.598 0.000 2.411 Cu
```

Results
DFT total energy = -0.12355 hartree per atom
Distance to the lowest polymorph of the same formula = 12.0 meV/atom
Magnetic moment = 4.7 μB/f.u.
N(E_F) = 1.89 states/eV/cell
ΔH_f (0 K) = 0.617 eV/atom



15.
Computed, not measured: a relaxed structure of K2CrCu at the PBE-GGA level of DFT.

The structure in POSCAR format:
```
K2CrCu
1.0
-6.013 6.013 2.505
6.013 -6.013 2.505
6.013 6.013 -2.505
K Cr Cu
4 2 2
Cartesian
1.021 3.006 0.626 K
-3.006 4.992 1.879 K
-1.021 9.019 0.626 K
3.006 7.034 1.879 K
6.013 0.000 1.253 Cr
0.000 0.000 2.505 Cr
0.000 0.000 0.000 Cu
0.000 6.013 1.253 Cu
```

Results
DFT total energy = -0.11833 hartree per atom
Distance to the lowest polymorph of the same formula = 154.0 meV/atom
Magnetic moment = 5.0 μB/f.u.
N(E_F) = 0.95 states/eV/cell
ΔH_f (0 K) = 0.759 eV/atom



16.
Computed, not measured: a relaxed structure of KCrCu2 at the PBE-GGA level of DFT.

The structure in POSCAR format:
```
KCrCu2
1.0
1.500 0.866 9.530
-1.500 0.866 9.530
0.000 -1.732 9.530
K Cr Cu
1 1 2
Cartesian
0.000 0.000 0.000 K
0.000 0.000 14.295 Cr
0.000 0.000 6.725 Cu
0.000 0.000 21.865 Cu
```

Results
DFT total energy = -0.14364 hartree per atom
Distance to the lowest polymorph of the same formula = 283.1 meV/atom
Magnetic moment = 3.8 μB/f.u.
N(E_F) = 2.65 states/eV/cell
ΔH_f (0 K) = 0.820 eV/atom



17.
Computed, not measured: a relaxed structure of K2CrCu at the PBE-GGA level of DFT.

The structure in POSCAR format:
```
K2CrCu
1.0
4.218 0.000 0.000
0.000 5.722 0.000
-0.013 0.000 5.707
K Cr Cu
2 1 1
Cartesian
0.000 0.000 0.000 K
-0.007 2.861 2.854 K
2.103 0.000 2.854 Cr
2.109 2.861 0.000 Cu
```

Results
DFT total energy = -0.11354 hartree per atom
Distance to the lowest polymorph of the same formula = 284.5 meV/atom
Magnetic moment = 5.2 μB/f.u.
N(E_F) = 1.32 states/eV/cell
ΔH_f (0 K) = 0.889 eV/atom



18.
Computed, not measured: a relaxed structure of KCrCu at the PBE-GGA level of DFT.

The structure in POSCAR format:
```
KCrCu
1.0
2.201 -6.167 0.000
2.201 6.167 0.000
0.000 0.000 5.520
K Cr Cu
2 2 2
Cartesian
2.201 3.282 4.140 K
2.201 -3.282 1.380 K
2.201 5.800 1.380 Cr
2.201 -5.800 4.140 Cr
2.201 0.000 0.000 Cu
2.201 0.000 2.760 Cu
```

Results
DFT total energy = -0.15643 hartree per atom
Distance to the lowest polymorph of the same formula = 0.0 meV/atom
Magnetic moment = 4.4 μB/f.u.
N(E_F) = 3.84 states/eV/cell
ΔH_f (0 K) = 0.682 eV/atom



19.
Computed, not measured: a relaxed structure of KCrCu2 at the PBE-GGA level of DFT.

The structure in POSCAR format:
```
KCrCu2
1.0
-2.455 2.455 8.891
2.455 -2.455 8.891
2.455 2.455 -8.891
K Cr Cu
2 2 4
Cartesian
2.455 1.228 2.223 K
0.000 1.228 6.668 K
2.455 -1.228 6.668 Cr
0.000 3.683 2.223 Cr
0.000 0.000 0.000 Cu
1.228 1.228 -4.446 Cu
1.228 -1.228 4.446 Cu
0.000 2.455 0.000 Cu
```

Results
DFT total energy = -0.14565 hartree per atom
Distance to the lowest polymorph of the same formula = 228.4 meV/atom
Magnetic moment = 4.9 μB/f.u.
N(E_F) = 4.37 states/eV/cell
ΔH_f (0 K) = 0.765 eV/atom



20.
Computed, not measured: a relaxed structure of KCrCu2 at the PBE-GGA level of DFT.

The structure in POSCAR format:
```
KCrCu2
1.0
0.000 3.399 3.399
3.399 0.000 3.399
3.399 3.399 0.000
K Cr Cu
1 1 2
Cartesian
0.000 0.000 0.000 K
1.699 1.699 1.699 Cr
3.399 3.399 3.399 Cu
5.098 5.098 5.098 Cu
```

Results
DFT total energy = -0.13777 hartree per atom
Distance to the lowest polymorph of the same formula = 442.8 meV/atom
Magnetic moment = 4.8 μB/f.u.
N(E_F) = 2.07 states/eV/cell
ΔH_f (0 K) = 0.979 eV/atom